1.
The following is a DFT calculation (GGA-PBE) of a relaxed structure of LiCrRe2.

Cell: 9.087 9.087 9.087 Å, 17.20 17.20 17.20°
Fractional coordinates of all 4 atoms:
Li 0.000 0.000 0.000
Cr 0.500 0.500 0.500
Re 0.244 0.244 0.244
Re 0.756 0.756 0.756

## Properties
Theoretical density   12.52 g/cm³
Space-group type   R-3m (166)
Calculated formation energy   240 meV per atom
ΔE to the lowest computed polymorph   44 meV/atom

***

2.
The following is a DFT calculation (GGA-PBE) of a relaxed structure of LiCrRe2.

Cell: 4.966 4.966 4.966 Å, 145.15 129.51 62.82°
Fractional coordinates of all 4 atoms:
Li 0.000 0.000 0.000
Cr 0.255 0.755 0.500
Re 0.486 0.486 0.000
Re 0.736 0.236 0.500

## Properties
Theoretical density   13.41 g/cm³
Space-group type   Imm2 (44)
Calculated formation energy   268 meV per atom
ΔE to the lowest computed polymorph   73 meV/atom

***

3.
The following is a DFT calculation (GGA-PBE) of a relaxed structure of LiCrRe2.

Cell: 4.993 4.993 4.993 Å, 145.64 128.10 63.73°
Fractional coordinates of all 4 atoms:
Li 0.000 0.000 0.000
Cr 0.500 0.500 0.000
Re 0.265 0.765 0.500
Re 0.735 0.235 0.500

## Properties
Theoretical density   13.10 g/cm³
Space-group type   Immm (71)
Calculated formation energy   245 meV per atom
ΔE to the lowest computed polymorph   49 meV/atom

***

4.
The following is a DFT calculation (GGA-PBE) of a relaxed structure of LiCr2Re.

Cell: 2.505 2.505 8.779 Å, 90.00 90.00 90.00°
Fractional coordinates of all 4 atoms:
Li 0.000 0.000 0.000
Cr 0.500 0.500 0.259
Cr 0.500 0.500 0.741
Re 0.000 0.000 0.500

## Properties
Theoretical density   8.95 g/cm³
Space-group type   P4/mmm (123)
Calculated formation energy   552 meV per atom
ΔE to the lowest computed polymorph   303 meV/atom

***

5.
The following is a DFT calculation (GGA-PBE) of a relaxed structure of LiCrRe2.

Cell: 3.039 4.252 4.298 Å, 90.00 90.00 90.00°
Fractional coordinates of all 4 atoms:
Li 0.000 0.000 0.000
Cr 0.500 0.500 0.000
Re 0.000 0.500 0.500
Re 0.500 0.000 0.500

## Properties
Theoretical density   12.90 g/cm³
Space-group type   Pmmm (47)
Calculated formation energy   332 meV per atom
ΔE to the lowest computed polymorph   137 meV/atom

***

6.
The following is a DFT calculation (GGA-PBE) of a relaxed structure of LiCrRe.

Cell: 4.003 4.003 4.003 Å, 60.00 60.00 60.00°
Fractional coordinates of all 3 atoms:
Li 0.000 0.000 0.000
Cr 0.250 0.250 0.250
Re 0.500 0.500 0.500

## Properties
Theoretical density   8.98 g/cm³
Space-group type   F-43m (216)
Calculated formation energy   943 meV per atom
ΔE to the lowest computed polymorph   726 meV/atom

***

7.
The following is a DFT calculation (GGA-PBE) of a relaxed structure of LiCrRe.

Cell: 4.210 4.210 2.515 Å, 90.00 90.00 120.00°
Fractional coordinates of all 3 atoms:
Li 0.000 0.000 0.000
Cr 0.333 0.667 0.673
Re 0.667 0.333 0.381

## Properties
Theoretical density   10.54 g/cm³
Space-group type   P3m1 (156)
Calculated formation energy   217 meV per atom
ΔE to the lowest computed polymorph   0 meV/atom

***

8.
The following is a DFT calculation (GGA-PBE) of a relaxed structure of LiCrRe2.

Cell: 4.864 4.864 2.559 Å, 90.00 90.00 115.17°
Fractional coordinates of all 4 atoms:
Li 0.000 0.000 0.000
Cr 0.500 0.500 0.000
Re 0.000 0.500 0.500
Re 0.500 0.000 0.500

## Properties
Theoretical density   13.07 g/cm³
Space-group type   Cmmm (65)
Calculated formation energy   402 meV per atom
ΔE to the lowest computed polymorph   207 meV/atom

***

9.
The following is a DFT calculation (GGA-PBE) of a relaxed structure of LiCr2Re.

Cell: 4.871 4.871 4.871 Å, 145.64 128.43 63.44°
Fractional coordinates of all 4 atoms:
Li 0.000 0.000 0.000
Cr 0.261 0.761 0.500
Cr 0.481 0.481 0.000
Re 0.731 0.231 0.500

## Properties
Theoretical density   9.77 g/cm³
Space-group type   Imm2 (44)
Calculated formation energy   310 meV per atom
ΔE to the lowest computed polymorph   61 meV/atom

***

10.
The following is a DFT calculation (GGA-PBE) of a relaxed structure of LiCrRe2.

Cell: 4.272 4.272 4.272 Å, 60.00 60.00 60.00°
Fractional coordinates of all 4 atoms:
Li 0.000 0.000 0.000
Cr 0.250 0.250 0.250
Re 0.500 0.500 0.500
Re 0.750 0.750 0.750

## Properties
Theoretical density   12.99 g/cm³
Space-group type   F-43m (216)
Calculated formation energy   203 meV per atom
ΔE to the lowest computed polymorph   7 meV/atom

***

11.
The following is a DFT calculation (GGA-PBE) of a relaxed structure of LiCr2Re.

Cell: 2.498 4.205 4.868 Å, 90.00 99.00 90.00°
Fractional coordinates of all 4 atoms:
Li 0.000 0.000 0.000
Cr 0.246 0.500 0.751
Cr 0.754 0.500 0.249
Re 0.500 0.000 0.500

## Properties
Theoretical density   9.77 g/cm³
Space-group type   P2/m (10)
Calculated formation energy   295 meV per atom
ΔE to the lowest computed polymorph   46 meV/atom

***

12.
The following is a DFT calculation (GGA-PBE) of a relaxed structure of LiCrRe2.

Cell: 3.078 3.078 5.461 Å, 90.00 90.00 90.00°
Fractional coordinates of all 4 atoms:
Li 0.000 0.000 0.000
Cr 0.000 0.000 0.500
Re 0.500 0.500 0.240
Re 0.500 0.500 0.760

## Properties
Theoretical density   13.85 g/cm³
Space-group type   P4/mmm (123)
Calculated formation energy   372 meV per atom
ΔE to the lowest computed polymorph   176 meV/atom

***

13.
The following is a DFT calculation (GGA-PBE) of a relaxed structure of LiCr2Re.

Cell: 9.212 9.212 9.212 Å, 16.56 16.56 16.56°
Fractional coordinates of all 4 atoms:
Li 0.000 0.000 0.000
Cr 0.246 0.246 0.246
Cr 0.754 0.754 0.754
Re 0.500 0.500 0.500

## Properties
Theoretical density   8.91 g/cm³
Space-group type   R-3m (166)
Calculated formation energy   466 meV per atom
ΔE to the lowest computed polymorph   218 meV/atom

***

14.
The following is a DFT calculation (GGA-PBE) of a relaxed structure of LiCr2Re.

Cell: 2.578 2.578 8.721 Å, 90.00 90.00 109.81°
Fractional coordinates of all 4 atoms:
Li 0.000 0.000 0.000
Cr 0.500 0.500 0.262
Cr 0.500 0.500 0.738
Re 0.000 0.000 0.500

## Properties
Theoretical density   9.05 g/cm³
Space-group type   Cmmm (65)
Calculated formation energy   362 meV per atom
ΔE to the lowest computed polymorph   113 meV/atom

***

15.
The following is a DFT calculation (GGA-PBE) of a relaxed structure of LiCrRe.

Cell: 7.010 6.831 2.603 Å, 83.06 75.31 21.63°
Fractional coordinates of all 3 atoms:
Li 0.000 0.000 0.000
Cr 0.327 0.327 0.673
Re 0.675 0.675 0.325

## Properties
Theoretical density   9.67 g/cm³
Space-group type   Fmm2 (42)
Calculated formation energy   325 meV per atom
ΔE to the lowest computed polymorph   107 meV/atom

***

16.
The following is a DFT calculation (GGA-PBE) of a relaxed structure of LiCr2Re.

Cell: 2.521 2.521 8.539 Å, 90.00 90.00 90.00°
Fractional coordinates of all 4 atoms:
Li 0.000 0.000 0.000
Cr 0.000 0.000 0.511
Cr 0.500 0.500 0.729
Re 0.500 0.500 0.265

## Properties
Theoretical density   9.09 g/cm³
Space-group type   P4mm (99)
Calculated formation energy   463 meV per atom
ΔE to the lowest computed polymorph   214 meV/atom

***

17.
The following is a DFT calculation (GGA-PBE) of a relaxed structure of LiCr2Re.

Cell: 4.813 4.813 2.490 Å, 90.00 90.00 116.89°
Fractional coordinates of all 4 atoms:
Li 0.000 0.000 0.000
Cr 0.000 0.500 0.500
Cr 0.500 0.000 0.500
Re 0.500 0.500 0.000

## Properties
Theoretical density   9.59 g/cm³
Space-group type   Cmmm (65)
Calculated formation energy   426 meV per atom
ΔE to the lowest computed polymorph   177 meV/atom

***

18.
The following is a DFT calculation (GGA-PBE) of a relaxed structure of LiCrRe2.

Cell: 2.639 2.639 8.894 Å, 90.00 90.00 111.22°
Fractional coordinates of all 4 atoms:
Li 0.000 0.000 0.000
Cr 0.500 0.500 0.739
Re 0.000 0.000 0.516
Re 0.500 0.500 0.260

## Properties
Theoretical density   12.40 g/cm³
Space-group type   Cmm2 (35)
Calculated formation energy   342 meV per atom
ΔE to the lowest computed polymorph   146 meV/atom